# PrMg3Ag

Crystalline PrMg3Ag at its relaxed geometry (PBE, Alexandria).

Calculated values
Calculated total energy ... -2.632 eV per atom
Energy above the most stable polymorph in this dataset ... 0.0000 eV/atom
Total magnetization ... 0.0 μB/f.u.
Formation energy from the elements ... -0.1492 eV/atom

```
10
Lattice="7.354 0.000 0.000 0.000 4.446 0.000 -2.127 0.000 7.660" Properties=species:S:1:pos:R:3 pbc="T T T"
Pr 0.000 0.000 0.000
Pr 2.012 2.223 2.447
Mg -0.349 0.000 3.888
Mg 0.239 2.223 6.194
Mg 3.662 0.000 0.438
Mg 2.448 0.000 5.204
Mg 4.788 2.223 4.912
Mg 5.703 2.223 2.012
Ag 2.930 2.223 6.955
Ag 4.304 0.000 3.157
```

---

# PrMg4Ag

Crystalline PrMg4Ag at its relaxed geometry (PBE, Alexandria).

Calculated values
Calculated total energy ... -2.291 eV per atom
Energy above the most stable polymorph in this dataset ... 0.2039 eV/atom
Total magnetization ... 0.0 μB/f.u.
Formation energy from the elements ... 0.0436 eV/atom

```
6
Lattice="0.000 4.197 4.197 4.197 0.000 4.197 4.197 4.197 0.000" Properties=species:S:1:pos:R:3 pbc="T T T"
Pr 0.000 0.000 0.000
Mg 3.149 3.149 3.149
Mg 5.246 5.246 3.149
Mg 5.246 3.149 5.246
Mg 3.149 5.246 5.246
Ag 6.296 6.296 6.296
```

---

# PrMg4Ag5

Crystalline PrMg4Ag5 at its relaxed geometry (PBE, Alexandria).

Calculated values
Calculated total energy ... -2.771 eV per atom
Total magnetization ... 0.2 μB/f.u.
Formation energy from the elements ... -0.2296 eV/atom

```
10
Lattice="3.422 0.000 0.000 0.000 3.422 0.000 0.000 0.000 17.180" Properties=species:S:1:pos:R:3 pbc="T T T"
Pr 0.000 0.000 0.000
Mg 0.000 0.000 3.758
Mg 0.000 0.000 6.988
Mg 0.000 0.000 10.192
Mg 0.000 0.000 13.422
Ag 1.711 1.711 2.229
Ag 1.711 1.711 5.395
Ag 1.711 1.711 8.590
Ag 1.711 1.711 11.785
Ag 1.711 1.711 14.951
```

---

# Pr6MgAg5

Crystalline Pr6MgAg5 at its relaxed geometry (PBE, Alexandria).

Calculated values
Calculated total energy ... -3.925 eV per atom
Total magnetization ... 0.0 μB/f.u.
Formation energy from the elements ... -0.2146 eV/atom

```
12
Lattice="5.392 0.000 0.000 0.000 7.540 0.000 -2.640 0.000 8.123" Properties=species:S:1:pos:R:3 pbc="T T T"
Pr 0.000 1.806 0.000
Pr 0.000 5.734 0.000
Pr 0.032 1.878 5.352
Pr 0.032 5.661 5.352
Pr 2.719 1.878 2.771
Pr 2.719 5.661 2.771
Mg 2.696 3.770 0.000
Ag 0.030 3.770 2.507
Ag 0.026 0.000 2.706
Ag 2.696 0.000 0.000
Ag 2.726 0.000 5.417
Ag 2.722 3.770 5.616
```

---

# PrMg3Ag

Crystalline PrMg3Ag at its relaxed geometry (PBE, Alexandria).

Calculated values
Calculated total energy ... -2.631 eV per atom
Energy above the most stable polymorph in this dataset ... 0.0015 eV/atom
Total magnetization ... 0.0 μB/f.u.
Formation energy from the elements ... -0.1477 eV/atom

```
20
Lattice="9.319 0.000 0.000 0.000 4.412 0.000 0.000 0.000 12.168" Properties=species:S:1:pos:R:3 pbc="T T T"
Pr 1.558 1.103 0.086
Pr 3.102 3.309 6.170
Pr 6.218 1.103 5.997
Pr 7.762 3.309 12.081
Mg 0.506 1.103 5.056
Mg 0.929 3.309 2.761
Mg 1.370 3.309 9.603
Mg 3.289 1.103 3.519
Mg 3.731 1.103 8.845
Mg 4.154 3.309 11.140
Mg 5.165 1.103 1.028
Mg 5.588 3.309 3.323
Mg 6.030 3.309 8.648
Mg 7.949 1.103 2.564
Mg 8.391 1.103 9.407
Mg 8.814 3.309 7.112
Ag 1.238 1.103 7.719
Ag 3.422 3.309 1.635
Ag 5.898 1.103 10.532
Ag 8.082 3.309 4.448
```

---

# PrMg6Ag12

Crystalline PrMg6Ag12 at its relaxed geometry (PBE, Alexandria).

Calculated values
Calculated total energy ... -2.595 eV per atom
Total magnetization ... 0.0 μB/f.u.
Formation energy from the elements ... -0.0395 eV/atom

```
19
Lattice="6.030 3.482 3.150 -6.030 3.482 3.150 0.000 -6.963 3.150" Properties=species:S:1:pos:R:3 pbc="T T T"
Pr 0.000 0.000 0.000
Mg 0.000 -2.925 3.994
Mg -2.533 1.462 3.994
Mg -2.533 -1.462 5.457
Mg 2.533 1.462 3.994
Mg 2.533 -1.462 5.457
Mg 0.000 2.925 5.457
Ag -2.334 -4.043 4.726
Ag -4.668 0.000 4.726
Ag -1.493 -0.862 2.716
Ag 1.493 -0.862 2.716
Ag 0.000 1.724 2.716
Ag 2.334 -4.043 4.726
Ag -2.334 4.043 4.726
Ag 0.000 -1.724 6.736
Ag -1.493 0.862 6.736
Ag 1.493 0.862 6.736
Ag 4.668 0.000 4.726
Ag 2.334 4.043 4.726
```

---

# Pr3Mg4Ag4

Crystalline Pr3Mg4Ag4 at its relaxed geometry (PBE, Alexandria).

Calculated values
Calculated total energy ... -3.146 eV per atom
Total magnetization ... 0.0 μB/f.u.
Formation energy from the elements ... -0.2254 eV/atom

```
11
Lattice="-2.223 4.043 7.579 2.223 -4.043 7.579 2.223 4.043 -7.579" Properties=species:S:1:pos:R:3 pbc="T T T"
Pr 0.000 0.000 0.000
Pr 2.223 0.000 5.789
Pr 0.000 4.043 1.790
Mg 2.223 1.552 -2.650
Mg 2.223 1.552 2.650
Mg 0.000 2.491 4.928
Mg 0.000 2.491 10.229
Ag 0.000 0.000 3.376
Ag 2.223 2.507 0.000
Ag 0.000 1.537 7.579
Ag 0.000 0.000 11.781
```

---

# Pr2MgAg3

Crystalline Pr2MgAg3 at its relaxed geometry (PBE, Alexandria).

Calculated values
Calculated total energy ... -3.516 eV per atom
Energy above the most stable polymorph in this dataset ... 0.0165 eV/atom
Total magnetization ... 0.0 μB/f.u.
Formation energy from the elements ... -0.2310 eV/atom

```
12
Lattice="0.000 4.949 8.595 3.440 0.000 8.595 3.440 4.949 0.000" Properties=species:S:1:pos:R:3 pbc="T T T"
Pr 5.195 4.949 8.595
Pr 1.720 2.475 4.298
Pr 5.159 7.424 12.893
Pr 1.685 4.949 8.595
Mg 3.440 4.949 5.728
Mg 3.440 4.949 11.462
Ag 3.440 4.949 2.893
Ag 3.440 2.515 7.153
Ag 3.440 2.515 10.037
Ag 3.440 7.383 7.153
Ag 3.440 7.383 10.037
Ag 3.440 4.949 14.297
```